[1]
First-principles (PBE) data for NbAsSe3 after structural relaxation, as listed in Alexandria.

POSCAR file:
```
NbAsSe3
1.0
4.943 0.000 0.000
0.000 4.943 0.000
0.000 0.000 4.943
Nb As Se
1 1 3
Direct
0.000 0.000 0.000
0.500 0.500 0.500
0.000 0.500 0.500
0.500 0.000 0.500
0.500 0.500 0.000
```

Properties
mass density: 5.57 Mg/m³
relative energy among the computed polymorphs: 1.182 eV per atom
M_tot: 0.40 μB per atom
formation energy without anion corrections: 333 kJ/mol of formula units

***

[2]
First-principles (PBE) data for NbAs2Se after structural relaxation, as listed in Alexandria.

POSCAR file:
```
NbAs2Se
1.0
-3.011 3.011 5.944
3.011 -3.011 5.944
3.011 3.011 -5.944
Nb As Se
2 4 2
Direct
0.000 0.000 0.000
0.750 0.250 0.500
0.096 0.625 0.971
0.375 0.346 0.471
0.654 0.125 0.029
0.875 0.904 0.529
0.250 0.750 0.500
0.500 0.500 0.000
```

Properties
mass density: 4.96 Mg/m³
M_tot: 0.00 μB per atom
formation energy without anion corrections: 128 kJ/mol of formula units

***

[3]
First-principles (PBE) data for Nb2AsSe after structural relaxation, as listed in Alexandria.

POSCAR file:
```
Nb2AsSe
1.0
-2.941 2.941 5.821
2.941 -2.941 5.821
2.941 2.941 -5.821
Nb As Se
4 2 2
Direct
0.124 0.625 0.999
0.375 0.374 0.499
0.626 0.125 0.001
0.875 0.876 0.501
0.000 0.000 0.000
0.750 0.250 0.500
0.250 0.750 0.500
0.500 0.500 0.000
```

Properties
mass density: 5.60 Mg/m³
relative energy among the computed polymorphs: 0.577 eV per atom
M_tot: 0.67 μB per atom
formation energy without anion corrections: 68 kJ/mol of formula units

***

[4]
First-principles (PBE) data for Nb2AsSe after structural relaxation, as listed in Alexandria.

POSCAR file:
```
Nb2AsSe
1.0
0.000 3.233 3.233
3.233 0.000 3.233
3.233 3.233 0.000
Nb As Se
2 1 1
Direct
0.250 0.250 0.250
0.750 0.750 0.750
0.000 0.000 0.000
0.500 0.500 0.500
```

Properties
mass density: 8.35 Mg/m³
relative energy among the computed polymorphs: 0.000 eV per atom
M_tot: 0.17 μB per atom
formation energy without anion corrections: -155 kJ/mol of formula units

***

Among the records above, which one has the lowest M_tot?
NbAs2Se